AcGdRuPb: optimized geometry, PBE.

a = 5.388 Å, b = 5.388 Å, c = 5.388 Å
α = 60.00°, β = 60.00°, γ = 60.00°
Last column: magnetic moment on the atom in μB.
Sites, in units of the cell vectors:
Gd  0.000  0.000  0.000  7.00
Ru  0.750  0.750  0.750  -0.21
Pb  0.250  0.250  0.250  -0.01
Ac  0.500  0.500  0.500  0.00

DFT total energy = -7.89 eV/atom
volume = 111 Å³/f.u.
total magnetic moment = 6.91 μB per formula unit
space-group type = No. 216
calculated formation energy = -95 meV/atom